Entry 1:
Below is crystalline CeHoPuTc at its relaxed geometry, with properties calculated at the GGA-PBE level.

The structure in CIF format:
```
data_CeHoPuTc
_cell_length_a 7.090
_cell_length_b 7.090
_cell_length_c 7.090
_cell_angle_alpha 90.00
_cell_angle_beta 90.00
_cell_angle_gamma 90.00
_symmetry_space_group_name_H-M 'F -4 3 m'
_symmetry_Int_Tables_number 216
_symmetry_space_group_name_Hall 'F -4 2 3'
loop_
_atom_site_label
_atom_site_fract_x
_atom_site_fract_y
_atom_site_fract_z
Ce1 0.000 0.000 0.000
Ho1 0.250 0.250 0.750
Pu1 0.250 0.250 0.250
Tc1 0.000 0.000 0.500
```

ΔE_f ... 0.30 eV per formula unit
Total DFT energy (no corrections) ... -8.726 eV per atom
Magnetic moment ... 1.59 μB per atom
Crystal system ... cubic

***

Entry 2:
Below is crystalline CeHo3Pu2Te6 at its relaxed geometry, with properties calculated at the GGA-PBE level.

The structure in CIF format:
```
data_CeHo3Pu2Te6
_cell_length_a 19.247
_cell_length_b 4.363
_cell_length_c 8.850
_cell_angle_alpha 90.00
_cell_angle_beta 104.38
_cell_angle_gamma 90.00
_symmetry_space_group_name_H-M 'C 1 2/m 1'
_symmetry_Int_Tables_number 12
loop_
_symmetry_equiv_pos_as_xyz
'x,y,z'
'-x,-y,-z'
'-x,y,-z'
'x,-y,z'
'x+1/2,y+1/2,z'
'-x+1/2,-y+1/2,-z'
'-x+1/2,y+1/2,-z'
'x+1/2,-y+1/2,z'
loop_
_atom_site_label
_atom_site_fract_x
_atom_site_fract_y
_atom_site_fract_z
Ce1 0.000 0.000 0.000
Ho1 0.000 0.000 0.500
Ho2 0.166 0.500 0.832
Pu1 0.166 0.500 0.331
Te1 0.002 0.500 0.742
Te2 0.165 0.000 0.586
Te3 0.170 0.000 0.079
```

Formation energy from raw total energies ... -1.242 eV per atom
Total DFT energy (no corrections) ... -6.841 eV per atom
Magnetic moment ... 1.10 μB per atom
Crystal system ... monoclinic

***

Entry 3:
Below is crystalline Ce2Ho3PuTe6 at its relaxed geometry, with properties calculated at the GGA-PBE level.

The structure in CIF format:
```
data_Ce2Ho3PuTe6
_cell_length_a 19.290
_cell_length_b 4.369
_cell_length_c 8.879
_cell_angle_alpha 90.00
_cell_angle_beta 104.37
_cell_angle_gamma 90.00
_symmetry_space_group_name_H-M 'C 1 2/m 1'
_symmetry_Int_Tables_number 12
loop_
_symmetry_equiv_pos_as_xyz
'x,y,z'
'-x,-y,-z'
'-x,y,-z'
'x,-y,z'
'x+1/2,y+1/2,z'
'-x+1/2,-y+1/2,-z'
'-x+1/2,y+1/2,-z'
'x+1/2,-y+1/2,z'
loop_
_atom_site_label
_atom_site_fract_x
_atom_site_fract_y
_atom_site_fract_z
Ce1 0.167 0.000 0.334
Ho1 0.000 0.500 0.500
Ho2 0.167 0.000 0.834
Pu1 0.000 0.500 0.000
Te1 0.003 0.000 0.747
Te2 0.164 0.500 0.591
Te3 0.168 0.500 0.076
```

Formation energy from raw total energies ... -1.283 eV per atom
Total DFT energy (no corrections) ... -6.182 eV per atom
Magnetic moment ... 0.71 μB per atom
Crystal system ... monoclinic